Record 1
Here is Sr3Ca5Ti3Mn5O24 after structural relaxation from Alexandria. Energies are from PBEsol.

Output
uncorrected formation energy	-2630	meV per atom
spin magnetization	15.00	μB/f.u.
SG	P1, No. 1
volume	432	Å³/cell
calculated total energy	-321.16	eV/f.u.

Unit cell a=7.546 b=7.573 c=7.565 alpha=90.08 beta=90.18 gamma=89.83
Fractional coordinates of all 40 atoms:
Ti  0.498  0.997  0.498
Ti  0.498  0.503  0.501
O  0.466  0.249  0.466
Mn  0.001  0.506  0.001
O  0.473  0.539  0.251
Mn  0.000  0.504  0.501
O  0.969  0.479  0.752
Sr  0.753  0.239  0.762
O  0.756  0.028  0.517
Ca  0.754  0.736  0.763
O  0.038  0.751  0.967
Sr  0.755  0.235  0.255
O  0.958  0.749  0.530
O  0.752  0.970  0.967
O  0.473  0.026  0.753
Ti  0.498  0.505  0.001
O  0.535  0.750  0.536
O  0.245  0.478  0.985
O  0.037  0.248  0.468
Ca  0.247  0.763  0.227
O  0.244  0.534  0.533
O  0.756  0.476  0.472
O  0.981  0.249  0.025
O  0.756  0.535  0.028
O  0.245  0.956  0.475
Mn  0.001  0.996  0.497
Ca  0.754  0.738  0.271
Mn  0.000  0.996  0.000
O  0.249  0.025  0.041
O  0.468  0.756  0.963
Ca  0.245  0.269  0.236
O  0.528  0.959  0.244
O  0.518  0.246  0.029
O  0.033  0.534  0.252
Mn  0.497  0.998  0.000
Ca  0.246  0.768  0.738
Sr  0.245  0.260  0.744
O  0.970  0.959  0.248
O  0.033  0.018  0.749
O  0.525  0.474  0.752

Record 2
Here is Ca2Ta2MnO8 after structural relaxation from Alexandria. Energies are from PBEsol.

Output
uncorrected formation energy	-2704	meV per atom
spin magnetization	5.00	μB/f.u.
SG	C2/c, No. 15
volume	322	Å³/cell
calculated total energy	-116.28	eV/f.u.

Unit cell a=5.416 b=6.320 c=9.926 alpha=108.56 beta=91.89 gamma=90.00
Fractional coordinates of all 26 atoms:
Ta  0.246  0.034  0.775
Ca  0.744  0.531  0.417
O  0.588  0.195  0.141
Mn  0.250  0.640  0.000
O  0.496  0.124  0.365
Ta  0.754  0.966  0.225
O  0.088  0.946  0.141
Ca  0.756  0.115  0.583
O  0.585  0.707  0.114
O  0.996  0.241  0.365
Ta  0.746  0.741  0.775
Ca  0.244  0.885  0.417
O  0.912  0.054  0.859
O  0.160  0.161  0.629
O  0.004  0.759  0.635
O  0.915  0.593  0.886
Ta  0.254  0.259  0.225
O  0.085  0.407  0.114
O  0.412  0.805  0.859
Ca  0.256  0.469  0.583
Mn  0.750  0.360  0.000
O  0.660  0.468  0.629
O  0.840  0.839  0.371
O  0.415  0.293  0.886
O  0.504  0.876  0.635
O  0.340  0.532  0.371